Entry 1:
# NdErPuSc, optimized geometry, DFT PBE-GGA
# total energy: -7.304 eV/atom
# DOS at the Fermi energy: 10.4 states/eV/f.u.
# energy of formation from the pure elements: 0.194 eV/atom
# magnetization: 5.972 μB/f.u.
data_NdErPuSc
_cell_length_a 7.780
_cell_length_b 7.780
_cell_length_c 7.780
_cell_angle_alpha 90.00
_cell_angle_beta 90.00
_cell_angle_gamma 90.00
_space_group_name_H-M_alt 'F -4 3 m'
_space_group_IT_number 216
_space_group_name_Hall 'F -4 2 3'
loop_
_atom_site_label
_atom_site_type_symbol
_atom_site_fract_x
_atom_site_fract_y
_atom_site_fract_z
Nd1 Nd 0.000 0.000 0.000
Er1 Er 0.250 0.250 0.250
Pu1 Pu 0.000 0.000 0.500
Sc1 Sc 0.250 0.250 0.750

=====

Entry 2:
# ZrAuN2, optimized geometry, DFT PBE-GGA
# total energy: -7.225 eV/atom
# energy above the lowest structure with this stoichiometry: 0.263 eV/atom
# DOS at the Fermi energy: 4.2 states/eV/f.u.
# magnetization: 0.000 μB/f.u.
data_ZrAuN2
_cell_length_a 4.930
_cell_length_b 4.930
_cell_length_c 10.325
_cell_angle_alpha 90.00
_cell_angle_beta 90.00
_cell_angle_gamma 90.00
_space_group_name_H-M_alt 'I -4 2 d'
_space_group_IT_number 122
_space_group_name_Hall 'I -4 2bw'
loop_
_atom_site_label
_atom_site_type_symbol
_atom_site_fract_x
_atom_site_fract_y
_atom_site_fract_z
Zr1 Zr 0.000 0.000 0.000
Au1 Au 0.000 0.000 0.500
N1 N 0.221 0.250 0.125